Compound: PuPtAu
Source: the Alexandria database
Functional: PBE
Structure: optimized geometry

a = 3.534 Å, b = 15.420 Å, c = 4.589 Å
α = 90.00°, β = 90.00°, γ = 90.00°
Space group Cmcm (No. 63)
Asymmetric unit:
Pu 0.000 0.097 0.250 (multiplicity 4)
Pt 0.000 0.436 0.250 (multiplicity 4)
Au 0.000 0.234 0.750 (multiplicity 4)

Results
Energy relative to the lowest polymorph listed for this composition in meV per atom: 5
Raw total energy in eV/atom: -8.426
Formation energy in eV/atom: -0.543

=====

Compound: Pm3Ni3Sn
Source: the Alexandria database
Functional: PBE
Structure: optimized geometry

a = 8.6174 Å, b = 8.6174 Å, c = 5.4842 Å
α = 90.00°, β = 90.00°, γ = 120.00°
Space group P6_3/m (No. 176)
Asymmetric unit:
Pm 0.0484 0.3493 0.2500 (multiplicity 6)
Ni 0.0425 0.3685 0.7500 (multiplicity 6)
Sn 0.3333 0.6667 0.7500 (multiplicity 2)

Results
Raw total energy in eV/atom: -5.247
Formation energy in eV/atom: -0.161

=====

Compound: Tl2CdHg12
Source: the Alexandria database
Functional: PBE
Structure: optimized geometry

a = 6.303 Å, b = 6.303 Å, c = 22.533 Å
α = 90.00°, β = 90.00°, γ = 90.00°
Space group P4/nbm (No. 125, origin choice 2)
Asymmetric unit:
Tl 0.250 0.750 0.240 (multiplicity 4)
Cd 0.250 0.750 0.000 (multiplicity 2)
Hg 0.001 0.501 0.094 (multiplicity 8)
Hg 0.057 0.557 0.568 (multiplicity 8)
Hg 0.250 0.250 0.196 (multiplicity 4)
Hg 0.250 0.250 0.330 (multiplicity 4)

Results
Raw total energy in eV/atom: -0.601
Formation energy in eV/atom: 0.017

=====

Compound: BaSrY2Ir
Source: the Alexandria database
Functional: PBE
Structure: optimized geometry

a = 5.533 Å, b = 5.533 Å, c = 6.264 Å
α = 90.00°, β = 90.00°, γ = 90.00°
Space group P4/mmm (No. 123)
Asymmetric unit:
Ba 0.000 0.000 0.000 (multiplicity 1)
Sr 0.500 0.500 0.000 (multiplicity 1)
Y 0.000 0.500 0.500 (multiplicity 2)
Ir 0.000 0.000 0.500 (multiplicity 1)

Results
Energy relative to the lowest polymorph listed for this composition in meV per atom: 56
Raw total energy in eV/atom: -5.275
Formation energy in eV/atom: -0.196

=====

Compound: ScCrB4
Source: the Alexandria database
Functional: PBE
Structure: optimized geometry

a = 5.806 Å, b = 11.189 Å, c = 3.303 Å
α = 90.00°, β = 90.00°, γ = 90.00°
Space group Pbam (No. 55)
Asymmetric unit:
Sc 0.127 0.150 0.000 (multiplicity 4)
Cr 0.126 0.419 0.000 (multiplicity 4)
B 0.022 0.695 0.500 (multiplicity 4)
B 0.116 0.549 0.500 (multiplicity 4)
B 0.133 0.968 0.500 (multiplicity 4)
B 0.213 0.814 0.500 (multiplicity 4)

Results
Raw total energy in eV/atom: -7.816
Formation energy in eV/atom: -0.705

=====

Compound: Pr6YHo3Er2
Source: the Alexandria database
Functional: PBE
Structure: optimized geometry

a = 6.298 Å, b = 10.906 Å, c = 11.854 Å
α = 90.00°, β = 100.18°, γ = 90.00°
Space group C2/m (No. 12)
Asymmetric unit:
Pr 0.249 0.000 0.250 (multiplicity 4)
Pr 0.249 0.167 0.750 (multiplicity 8)
Y 0.000 0.500 0.000 (multiplicity 2)
Ho 0.000 0.000 0.500 (multiplicity 2)
Ho 0.000 0.333 0.500 (multiplicity 4)
Er 0.000 0.167 0.000 (multiplicity 4)

Results
Raw total energy in eV/atom: -4.821
Formation energy in eV/atom: 0.012

=====

Compound: Li4CdPd5
Source: the Alexandria database
Functional: PBE
Structure: optimized geometry

a = 3.042 Å, b = 3.042 Å, c = 15.403 Å
α = 90.00°, β = 90.00°, γ = 90.00°
Space group P4/mmm (No. 123)
Asymmetric unit:
Li 0.000 0.000 0.095 (multiplicity 2)
Li 0.000 0.000 0.284 (multiplicity 2)
Cd 0.000 0.000 0.500 (multiplicity 1)
Pd 0.500 0.500 0.000 (multiplicity 1)
Pd 0.500 0.500 0.190 (multiplicity 2)
Pd 0.500 0.500 0.381 (multiplicity 2)

Results
Raw total energy in eV/atom: -3.874
Formation energy in eV/atom: -0.421

=====

Compound: Ni2I3Br
Source: the Alexandria database
Functional: PBE
Structure: optimized geometry

a = 18.217 Å, b = 3.900 Å, c = 13.437 Å
α = 90.00°, β = 127.35°, γ = 90.00°
Space group C2/m (No. 12)
Asymmetric unit:
Ni 0.243 0.000 0.120 (multiplicity 4)
Ni 0.244 0.500 0.368 (multiplicity 4)
I 0.136 0.000 0.199 (multiplicity 4)
I 0.143 0.500 0.947 (multiplicity 4)
I 0.148 0.500 0.464 (multiplicity 4)
Br 0.165 0.000 0.721 (multiplicity 4)

Results
Raw total energy in eV/atom: -3.122
Energy relative to the elements, uncorrected in eV/atom: -0.141

=====

Compound: MgFe2HPt
Source: the Alexandria database
Functional: PBE
Structure: optimized geometry

a = 3.689 Å, b = 3.689 Å, c = 4.230 Å
α = 90.00°, β = 90.00°, γ = 90.00°
Space group P4/mmm (No. 123)
Asymmetric unit:
Mg 0.000 0.000 0.000 (multiplicity 1)
Fe 0.000 0.500 0.500 (multiplicity 2)
H 0.000 0.000 0.500 (multiplicity 1)
Pt 0.500 0.500 0.000 (multiplicity 1)

Results
Raw total energy in eV/atom: -5.753

=====

Compound: Li2Nd2ErIn5
Source: the Alexandria database
Functional: PBE
Structure: optimized geometry

a = 10.327 Å, b = 10.327 Å, c = 4.532 Å
α = 90.00°, β = 90.00°, γ = 90.00°
Space group P4/mbm (No. 127)
Asymmetric unit:
Li 0.116 0.384 0.000 (multiplicity 4)
Nd 0.178 0.678 0.000 (multiplicity 4)
Er 0.000 0.000 0.000 (multiplicity 2)
In 0.000 0.500 0.500 (multiplicity 2)
In 0.068 0.210 0.500 (multiplicity 8)

Results
Raw total energy in eV/atom: -3.582
Formation energy in eV/atom: -0.420

=====

Compound: TbPmNd2Pt2
Source: the Alexandria database
Functional: PBE
Structure: optimized geometry

a = 6.905 Å, b = 14.303 Å, c = 6.894 Å
α = 90.00°, β = 90.00°, γ = 90.00°
Space group Ibam (No. 72)
Asymmetric unit:
Tb 0.000 0.000 0.250 (multiplicity 4)
Pm 0.000 0.500 0.250 (multiplicity 4)
Nd 0.206 0.192 0.000 (multiplicity 8)
Pt 0.233 0.112 0.500 (multiplicity 8)

Results
Raw total energy in eV/atom: -5.947
Formation energy in eV/atom: -0.781

=====

Compound: InRhN2F
Source: the Alexandria database
Functional: PBE
Structure: optimized geometry

a = 4.238 Å, b = 4.238 Å, c = 4.071 Å
α = 90.00°, β = 90.00°, γ = 90.00°
Space group P4/mmm (No. 123)
Asymmetric unit:
In 0.000 0.000 0.000 (multiplicity 1)
Rh 0.500 0.500 0.500 (multiplicity 1)
N 0.000 0.500 0.000 (multiplicity 2)
F 0.000 0.000 0.500 (multiplicity 1)

Results
Energy relative to the lowest polymorph listed for this composition in meV per atom: 778
Raw total energy in eV/atom: -4.541
Energy relative to the elements, uncorrected in eV/atom: 1.181

=====

Compound: Ti4Mn2Ge
Source: the Alexandria database
Functional: PBE
Structure: optimized geometry

a = 4.712 Å, b = 4.712 Å, c = 11.792 Å
α = 90.00°, β = 90.00°, γ = 90.00°
Space group I4/mmm (No. 139)
Asymmetric unit:
Ti 0.000 0.000 0.210 (multiplicity 4)
Ti 0.000 0.500 0.000 (multiplicity 4)
Mn 0.000 0.000 0.395 (multiplicity 4)
Ge 0.000 0.000 0.000 (multiplicity 2)

Results
Raw total energy in eV/atom: -7.201
Formation energy in eV/atom: 0.590

=====

Compound: Cd2SnSb2
Source: the Alexandria database
Functional: PBE
Structure: optimized geometry

a = 4.542 Å, b = 4.542 Å, c = 13.868 Å
α = 90.00°, β = 90.00°, γ = 90.00°
Space group I4/mmm (No. 139)
Asymmetric unit:
Cd 0.000 0.000 0.099 (multiplicity 4)
Sn 0.000 0.000 0.500 (multiplicity 2)
Sb 0.000 0.500 0.250 (multiplicity 4)

Results
Energy relative to the lowest polymorph listed for this composition in meV per atom: 110
Raw total energy in eV/atom: -2.602
Energy relative to the elements, uncorrected in eV/atom: 0.214

=====

Compound: CrSeBr
Source: the Alexandria database
Functional: PBE
Structure: optimized geometry

a = 6.720 Å, b = 6.720 Å, c = 6.720 Å
α = 90.00°, β = 90.00°, γ = 90.00°
Space group F-43m (No. 216)
Asymmetric unit:
Cr 0.000 0.000 0.000 (multiplicity 4)
Se 0.250 0.250 0.750 (multiplicity 4)
Br 0.000 0.000 0.500 (multiplicity 4)

Results
Raw total energy in eV/atom: -4.394
Energy relative to the elements, uncorrected in eV/atom: 0.533

=====

Compound: AcPr2Nd4Tm
Source: the Alexandria database
Functional: PBE
Structure: optimized geometry

a = 6.111 Å, b = 6.135 Å, c = 7.642 Å
α = 90.00°, β = 90.00°, γ = 90.00°
Space group Pmmm (No. 47)
Asymmetric unit:
Ac 0.000 0.000 0.000 (multiplicity 1)
Pr 0.000 0.000 0.500 (multiplicity 1)
Pr 0.500 0.500 0.000 (multiplicity 1)
Nd 0.000 0.500 0.266 (multiplicity 2)
Nd 0.500 0.000 0.267 (multiplicity 2)
Tm 0.500 0.500 0.500 (multiplicity 1)

Results
Raw total energy in eV/atom: -4.536
Formation energy in eV/atom: 0.116

=====

Compound: KCuSCl2
Source: the Alexandria database
Functional: PBE
Structure: optimized geometry

a = 5.131 Å, b = 5.131 Å, c = 4.454 Å
α = 90.00°, β = 90.00°, γ = 90.00°
Space group P4/mmm (No. 123)
Asymmetric unit:
K 0.000 0.000 0.000 (multiplicity 1)
Cu 0.500 0.500 0.500 (multiplicity 1)
S 0.500 0.500 0.000 (multiplicity 1)
Cl 0.000 0.500 0.500 (multiplicity 2)

Results
Energy relative to the lowest polymorph listed for this composition in meV per atom: 0
Raw total energy in eV/atom: -3.272
Energy relative to the elements, uncorrected in eV/atom: -0.669

=====

Compound: Sm8Er3
Source: the Alexandria database
Functional: PBE
Structure: optimized geometry

a = 12.0150 Å, b = 12.0150 Å, c = 8.9569 Å
α = 90.00°, β = 90.00°, γ = 120.00°
Space group R-3 (No. 148, hexagonal axes)
Asymmetric unit:
Sm 0.0000 0.0000 0.2299 (multiplicity 6)
Sm 0.0389 0.5717 0.1440 (multiplicity 18)
Er 0.0000 0.5000 0.5000 (multiplicity 9)

Results
Energy relative to the lowest polymorph listed for this composition in meV per atom: 0
Raw total energy in eV/atom: -4.307
Formation energy in eV/atom: 0.369

=====

Compound: SmYPt6
Source: the Alexandria database
Functional: PBE
Structure: optimized geometry

a = 5.332 Å, b = 5.332 Å, c = 5.332 Å
α = 90.00°, β = 90.00°, γ = 90.00°
Space group Pm-3 (No. 200)
Asymmetric unit:
Sm 0.000 0.000 0.000 (multiplicity 1)
Y 0.500 0.500 0.500 (multiplicity 1)
Pt 0.000 0.500 0.251 (multiplicity 6)

Results
Energy relative to the lowest polymorph listed for this composition in meV per atom: 327
Raw total energy in eV/atom: -6.564
Formation energy in eV/atom: -0.636

=====

Compound: ReSiAs2
Source: the Alexandria database
Functional: PBE
Structure: optimized geometry

a = 2.9939 Å, b = 2.9939 Å, c = 27.8322 Å
α = 90.00°, β = 90.00°, γ = 120.00°
Space group R3m (No. 160, hexagonal axes)
Asymmetric unit:
Re 0.0000 0.0000 0.0000 (multiplicity 3)
Si 0.0000 0.0000 0.7336 (multiplicity 3)
As 0.0000 0.0000 0.2657 (multiplicity 3)
As 0.0000 0.0000 0.4730 (multiplicity 3)

Results
Raw total energy in eV/atom: -6.688
Energy relative to the elements, uncorrected in eV/atom: 0.105